No. 1
Here is Li4TiCrO6 at its PBEsol-relaxed geometry from the Alexandria database. Energies are from meta-GGA SCAN.

Results
E_form (uncorrected) in kJ/mol of atoms: -250.42
Total magnetization in μB per formula unit: 2.00
Calculated density in g/cm³: 3.7
V in Å³ per atom: 8.44
E_tot in eV for the cell shown: -225.01

a b c (Å): 4.973 8.603 5.022
angles (deg): 90.00 109.52 90.00
Space group C2 (No. 5)
Symmetry-distinct sites (fractional):
Li  0.000  0.000  0.000
Li  0.000  0.159  0.500
Li  0.000  0.507  0.500
Li  0.000  0.839  0.500
Ti  0.000  0.333  0.000
Cr  0.000  0.668  0.000
O  0.223  0.503  0.231
O  0.241  0.676  0.773
O  0.249  0.821  0.228


No. 2
Here is LiZn2AgN at its PBEsol-relaxed geometry from the Alexandria database. Energies are from meta-GGA SCAN.

Results
E_form (uncorrected) in kJ/mol of atoms: 3.19
Total magnetization in μB per formula unit: 0.00
Calculated density in g/cm³: 6.6
V in Å³ per atom: 13.09
E_tot in eV for the cell shown: -69.91

a b c (Å): 4.041 4.041 4.009
angles (deg): 90.00 90.00 90.00
Space group P4/mmm (No. 123)
Symmetry-distinct sites (fractional):
Li  0.000  0.000  0.000
Zn  0.000  0.500  0.500
Ag  0.500  0.500  0.000
N  0.000  0.000  0.500


No. 3
Here is YBe2Ru at its PBEsol-relaxed geometry from the Alexandria database. Energies are from meta-GGA SCAN.

Results
Calculated formation energy in eV per atom: 0.1948
Total magnetization in μB per formula unit: 0.00
Calculated density in g/cm³: 6.1
V in Å³ per atom: 14.08
E_tot in eV for the cell shown: -70.60

a b c (Å): 4.083 4.083 3.379
angles (deg): 90.00 90.00 90.00
Space group P4/mmm (No. 123)
Symmetry-distinct sites (fractional):
Y  0.000  0.000  0.000
Be  0.000  0.500  0.500
Ru  0.500  0.500  0.000


No. 4
Here is AlZn2Rh at its PBEsol-relaxed geometry from the Alexandria database. Energies are from meta-GGA SCAN.

Results
Calculated formation energy in eV per atom: -0.5927
Total magnetization in μB per formula unit: 0.00
Calculated density in g/cm³: 8.1
V in Å³ per atom: 13.40
E_tot in eV for the cell shown: -141.85

a b c (Å): 3.629 3.629 8.138
angles (deg): 90.00 90.00 90.00
Space group I4/mmm (No. 139)
Symmetry-distinct sites (fractional):
Al  0.000  0.000  0.000
Zn  0.000  0.500  0.250
Rh  0.000  0.000  0.500


No. 5
Here is BeNi6Mo at its PBEsol-relaxed geometry from the Alexandria database. Energies are from meta-GGA SCAN.

Results
Calculated formation energy in eV per atom: -0.0994
Total magnetization in μB per formula unit: 0.00
Calculated density in g/cm³: 8.9
V in Å³ per atom: 10.61
E_tot in eV for the cell shown: -1096.59

a b c (Å): 6.933 9.899 9.898
angles (deg): 90.00 90.00 90.00
Space group Cmmm (No. 65)
Symmetry-distinct sites (fractional):
Be  0.000  0.000  0.237
Be  0.000  0.259  0.000
Ni  0.000  0.000  0.000
Ni  0.000  0.000  0.500
Ni  0.000  0.249  0.246
Ni  0.000  0.500  0.000
Ni  0.000  0.500  0.500
Ni  0.245  0.123  0.372
Ni  0.245  0.125  0.122
Mo  0.000  0.256  0.500
Mo  0.000  0.500  0.239


No. 6
Here is MgHg2Pb2 at its PBEsol-relaxed geometry from the Alexandria database. Energies are from meta-GGA SCAN.

Results
Calculated formation energy in eV per atom: -0.0302
Total magnetization in μB per formula unit: 0.00
Calculated density in g/cm³: 10.7
V in Å³ per atom: 26.12
E_tot in eV for the cell shown: -586.04

a b c (Å): 7.456 7.456 4.699
angles (deg): 90.00 90.00 90.00
Space group P4/mbm (No. 127)
Symmetry-distinct sites (fractional):
Mg  0.000  0.000  0.000
Hg  0.141  0.359  0.000
Pb  0.167  0.667  0.500


The highest E_tot belongs to which entry?
LiZn2AgN


Which of these has the highest V?
MgHg2Pb2